# WI | OQMD via LeMat-Bulk | GGA-PBE | optimized geometry
data_WI
_space_group_name_H-M_alt 'P -6 m 2'
_space_group_IT_number 187
_space_group_name_Hall 'P -6 2'
_cell_length_a 3.2926
_cell_length_b 3.2926
_cell_length_c 4.3664
_cell_angle_alpha 90.00
_cell_angle_beta 90.00
_cell_angle_gamma 120.00
loop_
_atom_site_label
_atom_site_fract_x
_atom_site_fract_y
_atom_site_fract_z
_atom_site_occupancy
W1 0.0000 0.0000 0.0000 1
I1 0.3333 0.6667 0.5000 1
# V ... 41 Å³ per cell
# Magnetic moment ... 0.03 μB/cell
# E above lowest polymorph ... 0.00 kJ per mole of atoms